ZrCdW | Alexandria via LeMat-Bulk | PBE-GGA | optimized geometry; theoretical density = 11.07 g cm⁻³; calculated volume = 58 Å³ per cell; total magnetic moment = 0.0 μB per formula unit; density of states at the Fermi level = 2.3 states/eV/f.u.; DFT formation energy = 34.77 kJ per mole of atoms
1.0
4.990 0.000 0.000
-2.495 4.322 0.000
0.000 0.000 2.694
Zr Cd W
1 1 1
direct
0.000 0.000 0.000
0.667 0.333 0.381
0.333 0.667 0.620



BaRu2Se | Alexandria via LeMat-Bulk | PBE-GGA | optimized geometry; theoretical density = 7.59 g cm⁻³; calculated volume = 92 Å³ per cell; total magnetic moment = 0.0 μB per formula unit; ΔE_f (raw) = 0.5293 eV per atom; density of states at the Fermi level = 6.5 states/eV/f.u.
1.0
-1.891 2.893 4.183
1.891 -2.893 4.183
1.891 2.893 -4.183
Ba Ru Se
1 2 1
direct
0.000 0.000 0.000
0.324 0.824 0.500
0.676 0.176 0.500
0.500 0.500 0.000



Y4AlTc | Alexandria via LeMat-Bulk | PBE-GGA | optimized geometry; theoretical density = 5.15 g cm⁻³; calculated volume = 155 Å³ per cell; total magnetic moment = 1.6 μB per formula unit; density of states at the Fermi level = 4.7 states/eV/f.u.; DFT formation energy = 72.34 kJ per mole of atoms
1.0
0.000 4.263 4.263
4.263 0.000 4.263
4.263 4.263 0.000
Y Al Tc
4 1 1
direct
0.376 0.376 0.376
0.376 0.376 0.872
0.376 0.872 0.376
0.872 0.376 0.376
0.000 0.000 0.000
0.750 0.750 0.750



ScTaTe | Alexandria via LeMat-Bulk | PBE-GGA | optimized geometry; theoretical density = 8.90 g cm⁻³; calculated volume = 66 Å³ per cell; total magnetic moment = 0.6 μB per formula unit; ΔE_f (raw) = 0.0691 eV per atom; density of states at the Fermi level = 3.5 states/eV/f.u.
1.0
4.781 0.000 0.000
-2.390 4.140 0.000
0.000 0.000 3.332
Sc Ta Te
1 1 1
direct
0.000 0.000 0.000
0.667 0.333 0.500
0.333 0.667 0.500



- What is the formula in the third record?
  Y4AlTc



- density of states at the Fermi level of number 4 (ScTaTe)?
  3.5 states/eV/f.u.